## Mg2ZnSn2Pd4 (PBE)

Data for crystalline Mg2ZnSn2Pd4 at its relaxed geometry. Values from VASP.

The structure in Quantum ESPRESSO input format:
```
&SYSTEM
  ibrav = 0, nat = 9, ntyp = 4
/
ATOMIC_SPECIES
Mg 24.30 Mg.upf
Pd 106.42 Pd.upf
Zn 65.41 Zn.upf
Sn 118.71 Sn.upf
CELL_PARAMETERS angstrom
-3.1889 4.7347 2.1134
3.1249 -3.2455 4.0933
4.7839 1.2791 -3.5400
ATOMIC_POSITIONS angstrom
Mg 5.4916 -1.3654 0.3842
Mg 2.4172 -0.6010 0.1691
Pd 4.3108 0.7636 1.3895
Pd 4.3406 0.0702 -1.5004
Pd 3.5682 -2.0365 2.0537
Pd 0.4091 2.0048 1.2772
Zn 0.0000 0.0000 0.0000
Sn 1.9452 0.2530 3.2417
Sn 2.7747 2.5154 -0.5749
```

## Properties
Crystal system ... tetragonal
Total magnetic moment ... 0.000 μB per cell
Formation enthalpy at 0 K ... -0.324 eV/atom